1.
PBE Tm2Zn4Ga3Ag, optimized geometry; E_form = -0.328 eV per atom; crystal system = tetragonal; N(E_F) = 0.5172 states/eV/atom; total DFT energy (no corrections) = -29.2 eV/cell
1.0
4.1360 0.0000 0.0000
0.0000 4.1360 0.0000
0.0000 0.0000 10.7707
Ga Tm Zn Ag
3 2 4 1
Direct
0.0000 0.0000 0.5000
0.0000 0.5000 0.1371
0.5000 0.0000 0.8629
0.0000 0.5000 0.7569
0.5000 0.0000 0.2431
0.5000 0.5000 0.0000
0.0000 0.0000 0.0000
0.5000 0.0000 0.6425
0.0000 0.5000 0.3575
0.5000 0.5000 0.5000


2.
PBE Li4Pu2Cl9, optimized geometry; crystal system = monoclinic; N(E_F) = 1.8437 states/eV/atom; ΔE_f (raw) = -2630 kJ/mol of formula units; total DFT energy (no corrections) = -160.4 eV/cell
1.0
6.7022 0.0013 0.0143
3.3508 5.8024 0.0367
-0.0388 -0.0936 18.4234
Cl Pu Li
18 4 8
Direct
0.6226 0.3588 0.5818
0.9996 0.6842 0.2499
0.0186 0.3590 0.0817
0.0189 0.6223 0.5818
0.6407 0.9813 0.4181
0.3593 0.0187 0.5819
0.3155 0.0001 0.2499
0.6837 0.3160 0.2499
0.6412 0.3777 0.9183
0.0004 0.3158 0.7501
0.3163 0.6840 0.7501
0.6845 0.9999 0.7501
0.3780 0.9813 0.9182
0.9814 0.6410 0.9183
0.3588 0.6223 0.0817
0.3774 0.6412 0.4182
0.9811 0.3777 0.4182
0.6220 0.0187 0.0818
0.0003 0.9999 0.8530
0.9997 0.0000 0.3528
0.9997 0.0001 0.1470
0.0003 0.0000 0.6472
0.3331 0.3332 0.1696
0.3337 0.3331 0.6696
0.6669 0.6668 0.8304
0.6666 0.6666 0.0115
0.3332 0.3334 0.4885
0.6668 0.6666 0.5115
0.6663 0.6669 0.3304
0.3334 0.3334 0.9885


3.
PBE NaSmTmTl, optimized geometry; E_form = -0.046 eV per atom; crystal system = cubic; N(E_F) = 1.0546 states/eV/atom; total DFT energy (no corrections) = -13.1 eV/cell
1.0
5.4233 0.0000 0.0000
2.7116 4.6967 0.0000
2.7116 1.5656 4.4281
Tl Na Sm Tm
1 1 1 1
Direct
0.0000 0.0000 0.0000
0.5000 0.5000 0.5000
0.7500 0.7500 0.7500
0.2500 0.2500 0.2500